(1)
Compound: Na2AgTeSe4
Source: the Alexandria database
Functional: GGA-PBE
Structure: relaxed

abc: 7.4147 3.9916 7.4998
angles: 90.00 112.07 90.00
Fractional positions:
Na  0.0000  0.0000  0.0000
Na  0.5000  0.5000  0.0000
Ag  0.0000  0.5000  0.5000
Te  0.5000  0.0000  0.5000
Se  0.2319  0.0000  0.6943
Se  0.2798  0.5000  0.2483
Se  0.7202  0.5000  0.7517
Se  0.7681  0.0000  0.3057

Results
Formation energy without anion corrections, meV/atom: -409
Electronic total energy, eV per atom: -3.23

---

(2)
Compound: Tm3SnSe2
Source: the Alexandria database
Functional: GGA-PBE
Structure: relaxed

abc: 7.1576 7.1576 7.1576
angles: 146.22 131.58 60.34
Fractional positions:
Tm  0.0000  0.0000  0.0000
Tm  0.3291  0.3291  0.0000
Tm  0.6709  0.6709  0.0000
Sn  0.5000  0.0000  0.5000
Se  0.1658  0.6658  0.5000
Se  0.8342  0.3342  0.5000

Results
E above lowest polymorph, kcal/mol of atoms: 0.00
Formation energy without anion corrections, meV/atom: -1363
Electronic total energy, eV per atom: -5.43

---

(3)
Compound: NdSm2Tl3
Source: the Alexandria database
Functional: GGA-PBE
Structure: relaxed

abc: 14.8446 14.8446 6.7930
angles: 90.00 90.00 165.55
Fractional positions:
Nd  0.1700  0.8300  0.7500
Nd  0.8300  0.1700  0.2500
Sm  0.3508  0.6492  0.7500
Sm  0.4941  0.5059  0.2500
Sm  0.5059  0.4941  0.7500
Sm  0.6492  0.3508  0.2500
Tl  0.0758  0.9242  0.0089
Tl  0.0758  0.9242  0.4911
Tl  0.2401  0.7599  0.2500
Tl  0.7599  0.2401  0.7500
Tl  0.9242  0.0758  0.5089
Tl  0.9242  0.0758  0.9911

Results
E above lowest polymorph, kcal/mol of atoms: 3.14
Electronic total energy, eV per atom: -3.80

---

(4)
Compound: Sc2BeNF
Source: the Alexandria database
Functional: GGA-PBE
Structure: relaxed

abc: 4.6063 4.6063 3.0784
angles: 90.00 90.00 90.00
Fractional positions:
Sc  0.0000  0.5000  0.0000
Sc  0.5000  0.0000  0.0000
Be  0.0000  0.0000  0.0000
N  0.0000  0.0000  0.5000
F  0.5000  0.5000  0.5000

Results
Formation energy without anion corrections, meV/atom: -548
Electronic total energy, eV per atom: -5.87

---

(5)
Compound: SrPuPd2
Source: the Alexandria database
Functional: GGA-PBE
Structure: relaxed

abc: 5.1246 5.1246 5.1246
angles: 60.00 60.00 60.00
Fractional positions:
Sr  0.0000  0.0000  0.0000
Pu  0.5000  0.5000  0.5000
Pd  0.2500  0.2500  0.2500
Pd  0.7500  0.7500  0.7500

Results
E above lowest polymorph, kcal/mol of atoms: 1.96
Electronic total energy, eV per atom: -6.99

---

(6)
Compound: CaMg2Hg6
Source: the Alexandria database
Functional: GGA-PBE
Structure: relaxed

abc: 5.6337 5.6337 9.8138
angles: 90.00 90.00 120.00
Fractional positions:
Ca  0.0000  0.0000  0.0000
Mg  0.3333  0.6667  0.5000
Mg  0.6667  0.3333  0.5000
Hg  0.0000  0.3369  0.7415
Hg  0.0000  0.6631  0.2585
Hg  0.3369  0.0000  0.7415
Hg  0.3369  0.3369  0.2585
Hg  0.6631  0.0000  0.2585
Hg  0.6631  0.6631  0.7415

Results
E above lowest polymorph, kcal/mol of atoms: 3.85
Electronic total energy, eV per atom: -0.83

---

(7)
Compound: SrAcEr2
Source: the Alexandria database
Functional: GGA-PBE
Structure: relaxed

abc: 3.8264 3.8264 10.5554
angles: 90.00 90.00 90.00
Fractional positions:
Sr  0.0000  0.0000  0.0000
Ac  0.0000  0.0000  0.5000
Er  0.5000  0.5000  0.2672
Er  0.5000  0.5000  0.7328

Results
E above lowest polymorph, kcal/mol of atoms: 0.00
Electronic total energy, eV per atom: -3.56

---

(8)
Compound: ScPb3Cl
Source: the Alexandria database
Functional: GGA-PBE
Structure: relaxed

abc: 5.4648 5.4648 5.4648
angles: 90.00 90.00 90.00
Fractional positions:
Sc  0.0000  0.0000  0.0000
Pb  0.0000  0.5000  0.5000
Pb  0.5000  0.0000  0.5000
Pb  0.5000  0.5000  0.0000
Cl  0.5000  0.5000  0.5000

Results
E above lowest polymorph, kcal/mol of atoms: 2.27
Formation energy without anion corrections, meV/atom: 267
Electronic total energy, eV per atom: -3.59

---

(9)
Compound: Tb8Ge3Se4S
Source: the Alexandria database
Functional: GGA-PBE
Structure: relaxed

abc: 8.2561 8.2561 8.2561
angles: 59.77 59.77 59.77
Fractional positions:
Tb  0.2432  0.7465  0.7465
Tb  0.2465  0.2465  0.2465
Tb  0.2535  0.2535  0.7568
Tb  0.2535  0.7568  0.2535
Tb  0.7465  0.2432  0.7465
Tb  0.7465  0.7465  0.2432
Tb  0.7535  0.7535  0.7535
Tb  0.7568  0.2535  0.2535
Ge  0.0000  0.0000  0.5000
Ge  0.0000  0.5000  0.0000
Ge  0.5000  0.0000  0.0000
Se  0.0000  0.0000  0.0000
Se  0.0000  0.5000  0.5000
Se  0.5000  0.0000  0.5000
Se  0.5000  0.5000  0.0000
S  0.5000  0.5000  0.5000

Results
Formation energy without anion corrections, meV/atom: -1559
Electronic total energy, eV per atom: -5.87

---

(10)
Compound: TiAlSnI2
Source: the Alexandria database
Functional: GGA-PBE
Structure: relaxed

abc: 5.4482 5.4482 5.3752
angles: 90.00 90.00 90.00
Fractional positions:
Ti  0.0000  0.0000  0.0000
Al  0.5000  0.5000  0.5000
Sn  0.5000  0.5000  0.0000
I  0.0000  0.5000  0.5000
I  0.5000  0.0000  0.5000

Results
Formation energy without anion corrections, meV/atom: 740
Electronic total energy, eV per atom: -3.01

---

(11)
Compound: Dy6TmIn3
Source: the Alexandria database
Functional: GGA-PBE
Structure: relaxed

abc: 9.3022 9.3022 7.6177
angles: 90.00 90.00 111.52
Fractional positions:
Dy  0.0445  0.9555  0.5000
Dy  0.0793  0.4524  0.9986
Dy  0.2302  0.2966  0.6871
Dy  0.2966  0.2302  0.1871
Dy  0.3036  0.6964  0.6502
Dy  0.4524  0.0793  0.4986
Dy  0.5476  0.9207  0.9986
Dy  0.6964  0.3036  0.1502
Dy  0.7034  0.7698  0.6871
Dy  0.7698  0.7034  0.1871
Dy  0.9207  0.5476  0.4986
Dy  0.9555  0.0445  0.0000
Tm  0.2003  0.7997  0.2112
Tm  0.7997  0.2003  0.7112
In  0.0094  0.2809  0.3593
In  0.2809  0.0094  0.8593
In  0.4496  0.5504  0.9662
In  0.5504  0.4496  0.4662
In  0.7191  0.9906  0.3593
In  0.9906  0.7191  0.8593

Results
E above lowest polymorph, kcal/mol of atoms: 3.17
Electronic total energy, eV per atom: -4.16

---

(12)
Compound: SrCo2Se2
Source: the Alexandria database
Functional: GGA-PBE
Structure: relaxed

abc: 7.7169 7.7169 3.4881
angles: 90.00 90.00 90.00
Fractional positions:
Sr  0.0000  0.0000  0.0000
Sr  0.5000  0.5000  0.0000
Co  0.1019  0.3981  0.5000
Co  0.3981  0.8981  0.5000
Co  0.6019  0.1019  0.5000
Co  0.8981  0.6019  0.5000
Se  0.1502  0.6502  0.0000
Se  0.3498  0.1502  0.0000
Se  0.6502  0.8498  0.0000
Se  0.8498  0.3498  0.0000

Results
E above lowest polymorph, kcal/mol of atoms: 13.64
Formation energy without anion corrections, meV/atom: -64
Electronic total energy, eV per atom: -4.64

---

(13)
Compound: BaNa3Li
Source: the Alexandria database
Functional: GGA-PBE
Structure: relaxed

abc: 10.9025 10.9025 7.6676
angles: 99.89 99.89 62.38
Fractional positions:
Ba  0.0321  0.9679  0.7500
Ba  0.3529  0.6471  0.2500
Ba  0.6471  0.3529  0.7500
Ba  0.9679  0.0321  0.2500
Na  0.0112  0.3385  0.0732
Na  0.0136  0.3443  0.6010
Na  0.3120  0.3179  0.4061
Na  0.3179  0.3120  0.9061
Na  0.3385  0.0112  0.5732
Na  0.3443  0.0136  0.1010
Na  0.6557  0.9864  0.8990
Na  0.6615  0.9888  0.4268
Na  0.6821  0.6880  0.0939
Na  0.6880  0.6821  0.5939
Na  0.9864  0.6557  0.3990
Na  0.9888  0.6615  0.9268
Li  0.2512  0.5881  0.7093
Li  0.4119  0.7488  0.7907
Li  0.5881  0.2512  0.2093
Li  0.7488  0.4119  0.2907

Results
E above lowest polymorph, kcal/mol of atoms: 0.04
Electronic total energy, eV per atom: -1.52

---

(14)
Compound: KCd4Ga
Source: the Alexandria database
Functional: GGA-PBE
Structure: relaxed

abc: 6.0964 6.0964 6.0964
angles: 60.00 60.00 60.00
Fractional positions:
K  0.0000  0.0000  0.0000
Cd  0.3750  0.3750  0.3750
Cd  0.3750  0.3750  0.8749
Cd  0.3750  0.8749  0.3750
Cd  0.8749  0.3750  0.3750
Ga  0.7500  0.7500  0.7500

Results
E above lowest polymorph, kcal/mol of atoms: 1.68
Electronic total energy, eV per atom: -1.26

---

(15)
Compound: La3PrNd4S8
Source: the Alexandria database
Functional: GGA-PBE
Structure: relaxed

abc: 8.2116 8.2116 8.2116
angles: 60.04 60.04 60.04
Fractional positions:
La  0.0000  0.5000  0.5000
La  0.5000  0.0000  0.5000
La  0.5000  0.5000  0.0000
Pr  0.0000  0.0000  0.0000
Nd  0.0000  0.0000  0.5000
Nd  0.0000  0.5000  0.0000
Nd  0.5000  0.0000  0.0000
Nd  0.5000  0.5000  0.5000
S  0.2484  0.2484  0.2484
S  0.2480  0.7489  0.7489
S  0.2511  0.2511  0.7520
S  0.2511  0.7520  0.2511
S  0.7489  0.2480  0.7489
S  0.7489  0.7489  0.2480
S  0.7520  0.2511  0.2511
S  0.7516  0.7516  0.7516

Results
Formation energy without anion corrections, meV/atom: -2080
Electronic total energy, eV per atom: -6.56

---

(16)
Compound: CaTbCd3
Source: the Alexandria database
Functional: GGA-PBE
Structure: relaxed

abc: 14.9785 14.9785 4.9722
angles: 90.00 90.00 166.21
Fractional positions:
Ca  0.0748  0.9252  0.7500
Ca  0.9252  0.0748  0.2500
Tb  0.2142  0.7858  0.2500
Tb  0.7858  0.2142  0.7500
Cd  0.3237  0.6763  0.2500
Cd  0.3779  0.6221  0.7500
Cd  0.4753  0.5247  0.7500
Cd  0.5247  0.4753  0.2500
Cd  0.6221  0.3779  0.2500
Cd  0.6763  0.3237  0.7500

Results
Electronic total energy, eV per atom: -2.18

---

(17)
Compound: LiCe3Pb5
Source: the Alexandria database
Functional: GGA-PBE
Structure: relaxed

abc: 9.4881 9.4881 6.5227
angles: 90.00 90.00 120.00
Fractional positions:
Li  0.0000  0.0000  0.0000
Li  0.0000  0.0000  0.5000
Ce  0.0000  0.3805  0.2500
Ce  0.0000  0.6195  0.7500
Ce  0.3805  0.0000  0.2500
Ce  0.3805  0.3805  0.7500
Ce  0.6195  0.0000  0.7500
Ce  0.6195  0.6195  0.2500
Pb  0.0000  0.2723  0.7500
Pb  0.0000  0.7277  0.2500
Pb  0.2723  0.0000  0.7500
Pb  0.2723  0.2723  0.2500
Pb  0.3333  0.6667  0.0000
Pb  0.3333  0.6667  0.5000
Pb  0.6667  0.3333  0.0000
Pb  0.6667  0.3333  0.5000
Pb  0.7277  0.0000  0.2500
Pb  0.7277  0.7277  0.7500

Results
Electronic total energy, eV per atom: -4.60

---

(18)
Compound: RbOsRh
Source: the Alexandria database
Functional: GGA-PBE
Structure: relaxed

abc: 2.8444 4.0646 13.6704
angles: 98.55 90.92 90.00
Fractional positions:
Rb  0.2245  0.3364  0.1734
Rb  0.7755  0.6636  0.8266
Os  0.2441  0.4621  0.4229
Os  0.7559  0.5379  0.5771
Rh  0.2610  0.0677  0.6369
Rh  0.7390  0.9323  0.3631

Results
E above lowest polymorph, kcal/mol of atoms: 2.65
Electronic total energy, eV per atom: -5.92

---

(19)
Compound: Pm2PaCo2
Source: the Alexandria database
Functional: GGA-PBE
Structure: relaxed

abc: 6.1350 6.1350 6.9034
angles: 98.71 98.71 61.21
Fractional positions:
Pm  0.0486  0.2556  0.1448
Pm  0.2556  0.0486  0.6448
Pm  0.7444  0.9514  0.3552
Pm  0.9514  0.7444  0.8552
Pa  0.4330  0.5670  0.2500
Pa  0.5670  0.4330  0.7500
Co  0.2115  0.5026  0.4863
Co  0.4974  0.7885  0.0137
Co  0.5026  0.2115  0.9863
Co  0.7885  0.4974  0.5137

Results
Electronic total energy, eV per atom: -6.91

---

(20)
Compound: PmNdSi
Source: the Alexandria database
Functional: GGA-PBE
Structure: relaxed

abc: 6.0847 6.0847 8.3976
angles: 122.96 122.96 41.16
Fractional positions:
Pm  0.0854  0.0854  0.3618
Pm  0.9146  0.9146  0.6382
Nd  0.3273  0.3273  0.9280
Nd  0.6727  0.6727  0.0720
Si  0.3797  0.3797  0.3481
Si  0.6203  0.6203  0.6519

Results
E above lowest polymorph, kcal/mol of atoms: 0.00
Formation energy without anion corrections, meV/atom: -483
Electronic total energy, eV per atom: -5.46

---

(21)
Compound: RbMnI3
Source: the Alexandria database
Functional: GGA-PBE
Structure: relaxed

abc: 6.8029 6.8029 6.8029
angles: 90.00 90.00 90.00
Fractional positions:
Rb  0.0000  0.0000  0.0000
Mn  0.5000  0.5000  0.5000
I  0.0000  0.0000  0.5000
I  0.0000  0.5000  0.0000
I  0.5000  0.0000  0.0000

Results
Formation energy without anion corrections, meV/atom: 298
Electronic total energy, eV per atom: -2.66

---

(22)
Compound: RbLaPdF6
Source: the Alexandria database
Functional: GGA-PBE
Structure: relaxed

abc: 7.8194 7.8194 7.8194
angles: 119.95 116.60 93.03
Fractional positions:
Rb  0.4106  0.1606  0.2500
Rb  0.5894  0.8394  0.7500
La  0.0000  0.0000  0.5000
La  0.0000  0.5000  0.0000
Pd  0.0000  0.5000  0.5000
Pd  0.5000  0.5000  0.0000
F  0.1107  0.3607  0.7500
F  0.1346  0.8846  0.2500
F  0.1448  0.4454  0.3251
F  0.1448  0.8197  0.6994
F  0.3798  0.1803  0.8251
F  0.3798  0.5546  0.1994
F  0.6202  0.4454  0.8006
F  0.6202  0.8197  0.1749
F  0.8552  0.1803  0.3006
F  0.8552  0.5546  0.6749
F  0.8654  0.1154  0.7500
F  0.8893  0.6393  0.2500

Results
Formation energy without anion corrections, meV/atom: -2807
Electronic total energy, eV per atom: -5.29

---

(23)
Compound: BiPbS
Source: the Alexandria database
Functional: GGA-PBE
Structure: relaxed

abc: 5.1060 5.1060 3.6305
angles: 90.00 90.00 120.00
Fractional positions:
Bi  0.0000  0.0000  0.0000
Pb  0.3333  0.6667  0.5000
S  0.6667  0.3333  0.0000

Results
Formation energy without anion corrections, meV/atom: 65
Electronic total energy, eV per atom: -3.84